NaPr2S4 | PBE | relaxed

Cell: 7.698 5.611 9.132 Å, 90.00 117.57 90.00°
Element x y z (fractional)
S (0.006, 0.250, 0.128)
S (0.994, 0.750, 0.872)
S (0.924, 0.250, 0.603)
S (0.076, 0.750, 0.397)
S (0.560, 0.496, 0.224)
S (0.440, 0.996, 0.776)
S (0.440, 0.504, 0.776)
S (0.560, 0.004, 0.224)
Pr (0.251, 0.250, 0.944)
Pr (0.181, 0.250, 0.478)
Pr (0.749, 0.750, 0.056)
Pr (0.819, 0.750, 0.522)
Na (0.754, 0.250, 0.803)
Na (0.246, 0.750, 0.197)

Computed properties:
Raw total energy in eV for the cell shown: -76.3
Magnetic moment in μB per formula unit: 0.0
Space-group type: P2_1/m, No. 11